The following is a DFT calculation (PBE+U) of a relaxed Cr5CuGe2O12 crystal.

Cell: 9.602 9.602 6.049 Å, 90.00 90.00 127.76°
Positions (direct):
Cr  0.162  0.335  0.750
Cr  0.674  0.326  0.500
Cr  0.000  0.000  0.000
Cr  0.326  0.674  0.500
Cr  0.335  0.162  0.750
Cr  0.326  0.674  0.000
Cr  0.000  0.000  0.500
Cr  0.674  0.326  0.000
Cr  0.665  0.838  0.250
Cr  0.838  0.665  0.250
Ge  0.022  0.689  0.750
Ge  0.689  0.022  0.750
Ge  0.978  0.311  0.250
Ge  0.311  0.978  0.250
O  0.578  0.382  0.750
O  0.769  0.263  0.250
O  0.768  0.768  0.469
O  0.768  0.768  0.031
O  0.923  0.086  0.250
O  0.096  0.423  0.007
O  0.904  0.577  0.507
O  0.231  0.737  0.750
O  0.422  0.618  0.250
O  0.232  0.232  0.969
O  0.077  0.914  0.750
O  0.382  0.578  0.750
O  0.263  0.769  0.250
O  0.232  0.232  0.531
O  0.423  0.096  0.007
O  0.618  0.422  0.250
O  0.904  0.577  0.993
O  0.914  0.077  0.750
O  0.096  0.423  0.493
O  0.737  0.231  0.750
O  0.423  0.096  0.493
O  0.577  0.904  0.993
O  0.577  0.904  0.507
O  0.086  0.923  0.250
Cu  0.619  0.619  0.750
Cu  0.381  0.381  0.250

Computed properties:
Symmetry: Cmcm
V, A^3/atom: 11.02
Energy, eV per atom: -7.26